Entry 1:
The following is a PBE calculation of a relaxed Ba2AcRu3O12 crystal, from the Alexandria database.

Cell: 7.3963 7.3963 16.4976 Å, 90.00 90.00 120.00°
Last column: nearest neighbours and their distance in Å.
Space group R-3m (No. 166, hexagonal axes)
Inequivalent atoms, fractional coordinates:
Ba: 0.0000 0.0000 0.1086  3 O 2.59
Ac: 0.0000 0.0000 0.5000  12 O 2.65-2.88
Ru: 0.0000 0.5000 0.0000  6 O 1.87-1.98
O: 0.0553 0.5277 0.8889  1 Ru 1.87
O: 0.0741 0.5370 0.3089  2 Ru 1.98

Values from the calculation:
- E (eV for the cell shown) = -375.56
- energy relative to the elements, uncorrected (meV/atom) = -1662

***

Entry 2:
The following is a PBE calculation of a relaxed MnCu4Pd7 crystal, from the Alexandria database.

Cell: 12.1025 4.6568 7.4908 Å, 90.00 120.76 90.00°
Last column: nearest neighbours and their distance in Å.
Space group C2/m (No. 12)
Inequivalent atoms, fractional coordinates:
Mn: 0.0000 0.0000 0.0000  4 Pd 2.33-2.57
Cu: 0.0402 0.5000 0.6952  4 Pd 2.48-2.62, 2 Cu 2.54-2.57
Cu: 0.1844 0.5000 0.3582  5 Pd 2.46-2.63, 1 Cu 2.54
Pd: 0.0000 0.5000 0.0000  2 Mn 2.33, 4 Cu 2.46-2.57
Pd: 0.0744 0.0000 0.4131  5 Cu 2.52-2.81, 3 Pd 2.71-2.81, 1 Mn 2.75
Pd: 0.1924 0.0000 0.8667  7 Pd 2.72-2.94, 3 Cu 2.76-2.84, 1 Mn 2.97
Pd: 0.2431 0.0000 0.2649  4 Cu 2.48-2.63, 1 Mn 2.57, 2 Pd 2.72-2.78

Values from the calculation:
- E (eV for the cell shown) = -121.66
- energy of formation (meV/atom) = 90
- relative energy among the computed polymorphs (eV per formula unit) = 2.35

***

Entry 3:
The following is a PBE calculation of a relaxed Pr4Er3Tm5 crystal, from the Alexandria database.

Cell: 16.0693 5.9193 9.4257 Å, 90.00 117.42 90.00°
Last column: nearest neighbours and their distance in Å.
Space group C2/m (No. 12)
Inequivalent atoms, fractional coordinates:
Pr: 0.0875 0.0000 0.4515  2 Pr 3.34-3.64, 5 Tm 3.44-3.71, 1 Er 3.45
Pr: 0.2173 0.0000 0.8855  3 Er 3.38-3.54, 3 Pr 3.53-3.64, 3 Tm 3.68-3.70
Er: 0.0000 0.5000 0.0000  2 Tm 2.96
Er: 0.2172 0.0000 0.2442  5 Tm 3.18-3.43, 4 Pr 3.38-3.54
Tm: 0.0000 0.0000 0.0000  4 Er 2.96-3.18
Tm: 0.0677 0.5000 0.7046  2 Er 3.26-3.42, 2 Tm 3.45-3.52
Tm: 0.1687 0.5000 0.3752  4 Er 3.19-3.43, 3 Pr 3.44-3.48, 1 Tm 3.52

Values from the calculation:
- E (eV for the cell shown) = -104.74
- energy of formation (meV/atom) = 233

***

Entry 4:
The following is a PBE calculation of a relaxed SbPCCl2 crystal, from the Alexandria database.

Cell: 4.3594 4.3594 4.5575 Å, 90.00 90.00 90.00°
Last column: nearest neighbours and their distance in Å.
Space group P4/mmm (No. 123)
Inequivalent atoms, fractional coordinates:
Sb: 0.0000 0.0000 0.0000  4 P 3.08, 8 Cl 3.15
P: 0.5000 0.5000 0.0000  2 C 2.28
C: 0.5000 0.5000 0.5000  4 Cl 2.18, 2 P 2.28
Cl: 0.0000 0.5000 0.5000  2 C 2.18

Values from the calculation:
- E (eV for the cell shown) = -17.27
- energy relative to the elements, uncorrected (meV/atom) = 1037
- relative energy among the computed polymorphs (eV per formula unit) = 0.00

***

Entry 5:
The following is a PBE calculation of a relaxed ZrCrMo2 crystal, from the Alexandria database.

Cell: 3.1715 4.5538 8.9897 Å, 90.00 90.00 90.00°
Last column: nearest neighbours and their distance in Å.
Space group Immm (No. 71)
Inequivalent atoms, fractional coordinates:
Zr: 0.0000 0.0000 0.0000  4 Cr 2.77, 4 Mo 2.86
Cr: 0.0000 0.0000 0.5000  4 Mo 2.64, 4 Zr 2.77
Mo: 0.0000 0.5000 0.2354  2 Cr 2.64, 4 Mo 2.79, 2 Zr 2.86

Values from the calculation:
- E (eV for the cell shown) = -79.02
- energy of formation (meV/atom) = 81
- relative energy among the computed polymorphs (eV per formula unit) = 0.06

***

Entry 6:
The following is a PBE calculation of a relaxed Pm4DyHg4 crystal, from the Alexandria database.

Cell: 9.5839 9.5839 5.7029 Å, 90.00 90.00 90.00°
Last column: nearest neighbours and their distance in Å.
Space group P4_2/n (No. 86, origin choice 2)
Inequivalent atoms, fractional coordinates:
Pm: 0.0928 0.8373 0.1430  4 Hg 3.15-3.25, 1 Dy 3.45, 1 Pm 3.45
Dy: 0.2500 0.2500 0.7500  4 Hg 3.09, 4 Pm 3.45
Hg: 0.0507 0.1475 0.3605  1 Dy 3.09, 4 Pm 3.15-3.25, 3 Hg 3.29-3.39

Values from the calculation:
- E (eV for the cell shown) = -54.36
- energy of formation (meV/atom) = -263

***

Entry 7:
The following is a PBE calculation of a relaxed NaSiF crystal, from the Alexandria database.

Cell: 3.7306 3.7331 8.8566 Å, 78.22 78.02 60.04°
Last column: nearest neighbours and their distance in Å.
Space group P1 (No. 1)
Inequivalent atoms, fractional coordinates:
Na: 0.0000 0.0000 0.0000  6 F 2.38-2.52
Na: 0.4334 0.4374 0.6970  3 F 2.50-2.55
Si: 0.2237 0.2289 0.3276  1 F 1.81
Si: 0.8592 0.8656 0.4212  3 Si 2.30
F: 0.2943 0.2957 0.1174  1 Si 1.81
F: 0.7168 0.7134 0.8493  6 Na 2.50-2.55

Values from the calculation:
- E (eV for the cell shown) = -26.78
- energy relative to the elements, uncorrected (meV/atom) = -1592
- relative energy among the computed polymorphs (eV per formula unit) = 0.04

***

Entry 8:
The following is a PBE calculation of a relaxed Th4Ga12Ru crystal, from the Alexandria database.

Cell: 8.8359 8.8359 8.8359 Å, 90.00 90.00 90.00°
Last column: nearest neighbours and their distance in Å.
Space group Im-3m (No. 229)
Inequivalent atoms, fractional coordinates:
Th: 0.2500 0.2500 0.2500  12 Ga 3.12-3.15
Ga: 0.0000 0.0000 0.2924  1 Ru 2.58, 4 Ga 2.87
Ga: 0.0000 0.2500 0.5000  8 Ga 2.87-3.12, 4 Th 3.12
Ru: 0.0000 0.0000 0.0000  6 Ga 2.58

Values from the calculation:
- E (eV for the cell shown) = -169.05
- energy of formation (meV/atom) = -544

***

Entry 9:
The following is a PBE calculation of a relaxed CaTaSbSe2 crystal, from the Alexandria database.

Cell: 4.9980 4.9980 5.6170 Å, 90.00 90.00 90.00°
Last column: nearest neighbours and their distance in Å.
Space group P4/mmm (No. 123)
Inequivalent atoms, fractional coordinates:
Ca: 0.0000 0.0000 0.0000  4 Sb 3.53, 8 Se 3.76
Ta: 0.5000 0.5000 0.5000  4 Se 2.50
Sb: 0.5000 0.5000 0.0000  2 Ta 2.81
Se: 0.0000 0.5000 0.5000  2 Ta 2.50

Values from the calculation:
- E (eV for the cell shown) = -27.53
- energy relative to the elements, uncorrected (meV/atom) = -517

***

Entry 10:
The following is a PBE calculation of a relaxed ErBeIrN crystal, from the Alexandria database.

Cell: 3.6676 3.6676 8.0555 Å, 90.00 90.00 90.00°
Last column: nearest neighbours and their distance in Å.
Space group P4/nmm (No. 129, origin choice 2)
Inequivalent atoms, fractional coordinates:
Er: 0.2500 0.2500 0.1537  1 N 2.24
Be: 0.2500 0.2500 0.6775  1 N 1.59
Ir: 0.2500 0.7500 0.5000  4 Be 2.33, 4 Ir 2.59
N: 0.2500 0.2500 0.8752  1 Be 1.59

Values from the calculation:
- E (eV for the cell shown) = -59.33
- energy relative to the elements, uncorrected (meV/atom) = -1048

***

Entry 11:
The following is a PBE calculation of a relaxed HoIn2Pd8 crystal, from the Alexandria database.

Cell: 14.5341 4.1695 6.5125 Å, 90.00 107.68 90.00°
Last column: nearest neighbours and their distance in Å.
Space group C2/m (No. 12)
Inequivalent atoms, fractional coordinates:
Ho: 0.0000 0.0000 0.0000  12 Pd 2.83-2.94
In: 0.2203 0.5000 0.6576  10 Pd 2.72-3.03
Pd: 0.0398 0.5000 0.7223  9 Pd 2.77-2.99, 1 In 2.78, 2 Ho 2.93
Pd: 0.0943 0.0000 0.4625  3 In 2.81-3.03, 8 Pd 2.83-2.94, 1 Ho 2.91
Pd: 0.1418 0.5000 0.1956  7 Pd 2.85-2.99, 3 In 2.85-2.88, 2 Ho 2.94
Pd: 0.1798 0.0000 0.9145  3 In 2.72-2.84, 8 Pd 2.83-2.94, 1 Ho 2.83

Values from the calculation:
- E (eV for the cell shown) = -115.56
- energy of formation (meV/atom) = -562

***

Entry 12:
The following is a PBE calculation of a relaxed LiY3Hg2 crystal, from the Alexandria database.

Cell: 5.2356 5.2356 12.9369 Å, 90.00 90.00 120.00°
Last column: nearest neighbours and their distance in Å.
Space group P-3m1 (No. 164)
Inequivalent atoms, fractional coordinates:
Li: 0.3333 0.6667 0.1716  8 Y 3.19-3.25, 3 Hg 3.56
Y: 0.0000 0.0000 0.2513  5 Hg 3.14-3.25, 3 Li 3.19
Y: 0.3333 0.6667 0.4186  1 Li 3.20, 7 Hg 3.20-3.42
Y: 0.3333 0.6667 0.9202  4 Hg 3.07-3.19, 4 Li 3.25
Hg: 0.0000 0.0000 0.0000  8 Y 3.19-3.25
Hg: 0.0000 0.0000 0.5000  8 Y 3.20-3.22
Hg: 0.3333 0.6667 0.6829  8 Y 3.07-3.42

Values from the calculation:
- E (eV for the cell shown) = -47.98
- energy of formation (meV/atom) = -347

***

Entry 13:
The following is a PBE calculation of a relaxed Cs2Se2Cl crystal, from the Alexandria database.

Cell: 9.3228 9.3228 5.5378 Å, 90.00 90.00 90.00°
Last column: nearest neighbours and their distance in Å.
Space group P4/mbm (No. 127)
Inequivalent atoms, fractional coordinates:
Cs: 0.1904 0.3096 0.0000  2 Cl 3.39
Se: 0.0873 0.5873 0.5000  1 Se 2.30
Cl: 0.0000 0.0000 0.0000  4 Cs 3.39

Values from the calculation:
- E (eV for the cell shown) = -31.60
- energy relative to the elements, uncorrected (meV/atom) = -1055
- relative energy among the computed polymorphs (eV per formula unit) = 0.52

***

Entry 14:
The following is a PBE calculation of a relaxed SmScSnPd crystal, from the Alexandria database.

Cell: 7.1854 7.1854 7.1854 Å, 90.00 90.00 90.00°
Last column: nearest neighbours and their distance in Å.
Space group F-43m (No. 216)
Inequivalent atoms, fractional coordinates:
Sm: 0.0000 0.0000 0.0000  4 Pd 3.11, 4 Sn 3.11
Sc: 0.0000 0.0000 0.5000  4 Sn 3.11, 4 Pd 3.11
Sn: 0.2500 0.2500 0.7500  4 Sc 3.11, 4 Sm 3.11
Pd: 0.2500 0.2500 0.2500  4 Sc 3.11, 4 Sm 3.11

Values from the calculation:
- E (eV for the cell shown) = -91.96
- energy of formation (meV/atom) = -686

***

Entry 15:
The following is a PBE calculation of a relaxed Tm6NiBi crystal, from the Alexandria database.

Cell: 6.6824 6.6898 7.4948 Å, 90.08 116.40 119.95°
Last column: nearest neighbours and their distance in Å.
Space group P-1 (No. 2)
Inequivalent atoms, fractional coordinates:
Tm: 0.0538 0.0855 0.2697  1 Ni 2.59
Tm: 0.3016 0.7160 0.2697  1 Ni 2.59
Tm: 0.3148 0.5312 0.7303  1 Ni 2.59
Ni: 0.5000 0.5000 0.5000  6 Tm 2.59
Bi: 0.5000 0.0000 0.0000  6 Tm 3.06

Values from the calculation:
- E (eV for the cell shown) = -37.19
- energy of formation (meV/atom) = -88

***

Entry 16:
The following is a PBE calculation of a relaxed MnCrFe2N crystal, from the Alexandria database.

Cell: 3.7303 3.7303 3.8285 Å, 90.00 90.00 90.00°
Last column: nearest neighbours and their distance in Å.
Space group P4/mmm (No. 123)
Inequivalent atoms, fractional coordinates:
Mn: 0.0000 0.0000 0.0000  4 Cr 2.64, 8 Fe 2.67
Cr: 0.5000 0.5000 0.0000  2 N 1.91
Fe: 0.0000 0.5000 0.5000  2 N 1.87
N: 0.5000 0.5000 0.5000  4 Fe 1.87, 2 Cr 1.91

Values from the calculation:
- E (eV for the cell shown) = -44.59
- energy relative to the elements, uncorrected (meV/atom) = -110

***

Entry 17:
The following is a PBE calculation of a relaxed La2Zn5Ag crystal, from the Alexandria database.

Cell: 4.4685 16.7548 9.1775 Å, 90.00 90.00 90.00°
Last column: nearest neighbours and their distance in Å.
Space group Cmcm (No. 63)
Inequivalent atoms, fractional coordinates:
La: 0.0000 0.0000 0.0000  10 Zn 3.25-3.62, 4 Ag 3.34
La: 0.0000 0.2031 0.2500  13 Zn 3.19-3.42, 2 Ag 3.33
Zn: 0.0000 0.1843 0.6093  4 Zn 2.57-2.82
Zn: 0.0000 0.3452 0.5176  4 Zn 2.57-2.82, 1 Ag 2.70
Zn: 0.0000 0.3987 0.2500  2 Zn 2.61, 1 Ag 2.63
Ag: 0.0000 0.4443 0.7500  3 Zn 2.63-2.70

Values from the calculation:
- E (eV for the cell shown) = -86.57
- energy of formation (meV/atom) = -321

***

Entry 18:
The following is a PBE calculation of a relaxed GdTmAlNi crystal, from the Alexandria database.

Cell: 7.0115 7.0115 7.0115 Å, 90.00 90.00 90.00°
Last column: nearest neighbours and their distance in Å.
Space group F-43m (No. 216)
Inequivalent atoms, fractional coordinates:
Gd: 0.0000 0.0000 0.0000  4 Al 3.04, 4 Ni 3.04
Tm: 0.0000 0.0000 0.5000  4 Ni 3.04, 4 Al 3.04
Al: 0.2500 0.2500 0.2500  4 Tm 3.04, 4 Gd 3.04
Ni: 0.2500 0.2500 0.7500  4 Gd 3.04, 4 Tm 3.04

Values from the calculation:
- E (eV for the cell shown) = -117.40
- energy of formation (meV/atom) = -319

***

Entry 19:
The following is a PBE calculation of a relaxed LiMg8Ni4 crystal, from the Alexandria database.

Cell: 9.0935 9.0935 5.4589 Å, 90.00 90.00 90.00°
Last column: nearest neighbours and their distance in Å.
Space group I4/mmm (No. 139)
Inequivalent atoms, fractional coordinates:
Li: 0.0000 0.0000 0.0000  4 Mg 2.90
Mg: 0.0000 0.2232 0.5000  4 Ni 2.66, 4 Mg 2.86-2.87
Mg: 0.0000 0.3186 0.0000  4 Ni 2.72, 4 Mg 2.86-3.01, 1 Li 2.90
Ni: 0.2500 0.2500 0.2500  8 Mg 2.66-2.72, 2 Ni 2.73

Values from the calculation:
- E (eV for the cell shown) = -78.27
- energy of formation (meV/atom) = -103

***

Entry 20:
The following is a PBE calculation of a relaxed ScIrCl2 crystal, from the Alexandria database.

Cell: 3.3799 3.9909 13.0546 Å, 90.00 90.00 90.00°
Last column: nearest neighbours and their distance in Å.
Space group Imm2 (No. 44)
Inequivalent atoms, fractional coordinates:
Sc: 0.0000 0.0000 0.0000  2 Ir 2.50, 2 Cl 2.73
Ir: 0.0000 0.5000 0.3590  2 Sc 2.50, 4 Cl 2.62
Cl: 0.0000 0.0000 0.5979  4 Sc 2.91
Cl: 0.0000 0.5000 0.8568  4 Ir 2.62, 2 Sc 2.73

Values from the calculation:
- E (eV for the cell shown) = -42.74
- energy relative to the elements, uncorrected (meV/atom) = -621
- relative energy among the computed polymorphs (eV per formula unit) = 1.23